# NbGaGe GGA-PBE relaxed
data_NbGaGe
_symmetry_space_group_name_H-M 'I 4 m m'
_symmetry_Int_Tables_number 107
_symmetry_space_group_name_Hall 'I 4 -2'
_cell_length_a 3.356
_cell_length_b 3.356
_cell_length_c 8.927
_cell_angle_alpha 90.00
_cell_angle_beta 90.00
_cell_angle_gamma 90.00
loop_
_atom_site_label
_atom_site_type_symbol
_atom_site_fract_x
_atom_site_fract_y
_atom_site_fract_z
_atom_site_occupancy
Nb1 Nb 0.000 0.000 0.000 1
Ga1 Ga 0.000 0.000 0.326 1
Ge1 Ge 0.000 0.000 0.663 1
# * E above lowest polymorph: 0.2158 eV per atom
# * mass density: 7772 kg/m³
# * calculated formation energy: -0.37 eV per formula unit

# PrYMg6 GGA-PBE relaxed
data_PrYMg6
_symmetry_space_group_name_H-M 'R -3 m'
_symmetry_Int_Tables_number 166
_symmetry_space_group_name_Hall '-R 3 2"'
_cell_length_a 5.2160
_cell_length_b 5.2160
_cell_length_c 25.5998
_cell_angle_alpha 90.00
_cell_angle_beta 90.00
_cell_angle_gamma 120.00
loop_
_atom_site_label
_atom_site_type_symbol
_atom_site_fract_x
_atom_site_fract_y
_atom_site_fract_z
_atom_site_occupancy
Pr1 Pr 0.0000 0.0000 0.0000 1
Y1 Y 0.0000 0.0000 0.5000 1
Mg1 Mg 0.0000 0.0000 0.1264 1
Mg2 Mg 0.0000 0.0000 0.2492 1
Mg3 Mg 0.0000 0.0000 0.3768 1
# * E above lowest polymorph: 0.0000 eV per atom
# * mass density: 3102 kg/m³
# * calculated formation energy: -0.88 eV per formula unit

# Na2ZnIn5 GGA-PBE relaxed
data_Na2ZnIn5
_symmetry_space_group_name_H-M 'C m c m'
_symmetry_Int_Tables_number 63
_symmetry_space_group_name_Hall '-C 2c 2'
_cell_length_a 4.660
_cell_length_b 17.977
_cell_length_c 10.484
_cell_angle_alpha 90.00
_cell_angle_beta 90.00
_cell_angle_gamma 90.00
loop_
_atom_site_label
_atom_site_type_symbol
_atom_site_fract_x
_atom_site_fract_y
_atom_site_fract_z
_atom_site_occupancy
Na1 Na 0.000 0.000 0.000 1
Na2 Na 0.000 0.188 0.250 1
Zn1 Zn 0.000 0.456 0.750 1
In1 In 0.000 0.197 0.603 1
In2 In 0.000 0.366 0.544 1
In3 In 0.000 0.395 0.250 1
# * E above lowest polymorph: 0.0000 eV per atom
# * mass density: 5184 kg/m³
# * calculated formation energy: -0.32 eV per formula unit

no.,total moment (Bohr magnetons per cell)
1,0.0
2,0.0
3,0.0